Entry 1:
TbHo2Al9 | PBE-GGA | relaxed

abc: 4.254 4.254 12.762
angles: 90.00 90.00 90.00
Positions (direct):
1 Tb 0.000 0.000 0.000
2 Ho 0.000 0.000 0.334
3 Ho 0.000 0.000 0.666
4 Al 0.000 0.500 0.168
5 Al 0.000 0.500 0.500
6 Al 0.000 0.500 0.832
7 Al 0.500 0.000 0.168
8 Al 0.500 0.000 0.500
9 Al 0.500 0.000 0.832
10 Al 0.500 0.500 0.000
11 Al 0.500 0.500 0.334
12 Al 0.500 0.500 0.666

Summary:
- ΔE_f (kcal/mol of atoms) = -9.685
- offset from the most stable computed form (eV/atom) = 0.0000
- SG = No. 123

***

Entry 2:
Tb3Ho3Al | PBE-GGA | relaxed

abc: 9.284 9.284 5.463
angles: 90.00 90.00 120.00
Positions (direct):
1 Tb 0.107 0.624 0.250
2 Tb 0.376 0.483 0.250
3 Tb 0.483 0.107 0.750
4 Tb 0.517 0.893 0.250
5 Tb 0.624 0.517 0.750
6 Tb 0.893 0.376 0.750
7 Ho 0.067 0.822 0.750
8 Ho 0.178 0.245 0.750
9 Ho 0.245 0.067 0.250
10 Ho 0.755 0.933 0.750
11 Ho 0.822 0.755 0.250
12 Ho 0.933 0.178 0.250
13 Al 0.333 0.667 0.750
14 Al 0.667 0.333 0.250

Summary:
- ΔE_f (kcal/mol of atoms) = -1.290
- SG = No. 176

***

Entry 3:
Tb2Ho2Al3 | PBE-GGA | relaxed

abc: 3.549 28.210 3.540
angles: 90.00 90.00 90.00
Positions (direct):
1 Tb 0.000 0.193 0.000
2 Tb 0.000 0.807 0.000
3 Tb 0.500 0.307 0.000
4 Tb 0.500 0.693 0.000
5 Ho 0.000 0.064 0.000
6 Ho 0.000 0.936 0.000
7 Ho 0.500 0.436 0.000
8 Ho 0.500 0.564 0.000
9 Al 0.000 0.371 0.500
10 Al 0.000 0.500 0.500
11 Al 0.000 0.629 0.500
12 Al 0.500 0.000 0.500
13 Al 0.500 0.129 0.500
14 Al 0.500 0.871 0.500

Summary:
- ΔE_f (kcal/mol of atoms) = -6.561
- offset from the most stable computed form (eV/atom) = 0.0000
- SG = No. 65

***

Entry 4:
Tb8HoAl2 | PBE-GGA | relaxed

abc: 8.559 8.559 5.595
angles: 101.78 101.78 118.22
Positions (direct):
1 Tb 0.088 0.325 0.612
2 Tb 0.223 0.777 0.000
3 Tb 0.325 0.088 0.612
4 Tb 0.404 0.404 0.205
5 Tb 0.596 0.596 0.795
6 Tb 0.675 0.912 0.388
7 Tb 0.777 0.223 0.000
8 Tb 0.912 0.675 0.388
9 Ho 0.000 0.000 0.000
10 Al 0.308 0.692 0.500
11 Al 0.692 0.308 0.500

Summary:
- ΔE_f (kcal/mol of atoms) = 0.144
- offset from the most stable computed form (eV/atom) = 0.1098
- SG = No. 12

***

Entry 5:
TbHoAl | PBE-GGA | relaxed

abc: 3.441 3.441 13.434
angles: 90.00 90.00 90.00
Positions (direct):
1 Tb 0.000 0.000 0.000
2 Tb 0.500 0.500 0.500
3 Ho 0.000 0.000 0.703
4 Ho 0.500 0.500 0.203
5 Al 0.000 0.000 0.350
6 Al 0.500 0.500 0.850

Summary:
- ΔE_f (kcal/mol of atoms) = -5.803
- offset from the most stable computed form (eV/atom) = 0.0000
- SG = No. 107

***

Entry 6:
TbHo5Al3 | PBE-GGA | relaxed

abc: 9.048 9.048 6.614
angles: 90.00 90.00 120.00
Positions (direct):
1 Tb 0.000 0.000 0.000
2 Tb 0.000 0.000 0.500
3 Ho 0.000 0.333 0.250
4 Ho 0.000 0.667 0.750
5 Ho 0.333 0.000 0.250
6 Ho 0.333 0.333 0.750
7 Ho 0.333 0.667 0.000
8 Ho 0.333 0.667 0.500
9 Ho 0.667 0.000 0.750
10 Ho 0.667 0.333 0.000
11 Ho 0.667 0.333 0.500
12 Ho 0.667 0.667 0.250
13 Al 0.000 0.335 0.750
14 Al 0.000 0.665 0.250
15 Al 0.335 0.000 0.750
16 Al 0.335 0.335 0.250
17 Al 0.665 0.000 0.250
18 Al 0.665 0.665 0.750

Summary:
- ΔE_f (kcal/mol of atoms) = -6.244
- SG = No. 193

***

Entry 7:
Tb4Ho3Al4 | PBE-GGA | relaxed

abc: 9.535 9.535 9.535
angles: 148.78 138.91 52.49
Positions (direct):
1 Tb 0.057 0.820 0.237
2 Tb 0.416 0.180 0.237
3 Tb 0.584 0.820 0.763
4 Tb 0.943 0.180 0.763
5 Ho 0.000 0.500 0.500
6 Ho 0.402 0.402 0.000
7 Ho 0.598 0.598 0.000
8 Al 0.171 0.671 0.500
9 Al 0.295 0.000 0.295
10 Al 0.705 0.000 0.705
11 Al 0.829 0.329 0.500

Summary:
- ΔE_f (kcal/mol of atoms) = -3.952
- SG = No. 71

***

Entry 8:
TbHo4Al2 | PBE-GGA | relaxed

abc: 7.714 6.611 6.188
angles: 74.06 55.48 50.46
Positions (direct):
1 Tb 0.000 0.000 0.000
2 Ho 0.250 0.250 0.250
3 Ho 0.339 0.661 0.339
4 Ho 0.661 0.339 0.661
5 Ho 0.750 0.750 0.750
6 Al 0.271 0.271 0.729
7 Al 0.729 0.729 0.271

Summary:
- ΔE_f (kcal/mol of atoms) = -0.629
- offset from the most stable computed form (eV/atom) = 0.0000
- SG = No. 69

***

Entry 9:
Tb2Ho2Al3 | PBE-GGA | relaxed

abc: 11.601 3.614 8.291
angles: 90.00 95.02 90.00
Positions (direct):
1 Tb 0.202 0.000 0.163
2 Tb 0.298 0.500 0.837
3 Tb 0.702 0.500 0.163
4 Tb 0.798 0.000 0.837
5 Ho 0.059 0.000 0.701
6 Ho 0.441 0.500 0.299
7 Ho 0.559 0.500 0.701
8 Ho 0.941 0.000 0.299
9 Al 0.000 0.500 0.000
10 Al 0.166 0.500 0.457
11 Al 0.334 0.000 0.543
12 Al 0.500 0.000 0.000
13 Al 0.666 0.000 0.457
14 Al 0.834 0.500 0.543

Summary:
- ΔE_f (kcal/mol of atoms) = -6.504
- offset from the most stable computed form (eV/atom) = 0.0025
- SG = No. 12

***

Entry 10:
TbHo4Al | PBE-GGA | relaxed

abc: 3.518 3.518 13.939
angles: 90.00 90.00 90.00
Positions (direct):
1 Tb 0.000 0.000 0.000
2 Ho 0.000 0.000 0.364
3 Ho 0.000 0.000 0.636
4 Ho 0.500 0.500 0.180
5 Ho 0.500 0.500 0.820
6 Al 0.500 0.500 0.500

Summary:
- ΔE_f (kcal/mol of atoms) = -2.807
- offset from the most stable computed form (eV/atom) = 0.0000
- SG = No. 123

***

Entry 11:
Tb2Ho3Al | PBE-GGA | relaxed

abc: 5.291 10.169 6.463
angles: 90.00 90.00 90.00
Positions (direct):
1 Tb 0.000 0.105 0.000
2 Tb 0.000 0.895 0.500
3 Tb 0.500 0.303 0.853
4 Tb 0.500 0.697 0.353
5 Ho 0.000 0.231 0.497
6 Ho 0.000 0.457 0.127
7 Ho 0.000 0.543 0.627
8 Ho 0.000 0.769 0.997
9 Ho 0.500 0.069 0.316
10 Ho 0.500 0.931 0.816
11 Al 0.500 0.384 0.376
12 Al 0.500 0.616 0.876

Summary:
- ΔE_f (kcal/mol of atoms) = -1.889
- offset from the most stable computed form (eV/atom) = 0.0117
- SG = No. 26

***

Entry 12:
TbHo3Al2 | PBE-GGA | relaxed

abc: 5.085 9.455 6.537
angles: 90.00 90.00 90.00
Positions (direct):
1 Tb 0.000 0.041 0.000
2 Tb 0.000 0.959 0.500
3 Ho 0.000 0.323 0.655
4 Ho 0.000 0.677 0.155
5 Ho 0.500 0.179 0.286
6 Ho 0.500 0.458 0.942
7 Ho 0.500 0.542 0.442
8 Ho 0.500 0.821 0.786
9 Al 0.000 0.354 0.177
10 Al 0.000 0.646 0.677
11 Al 0.500 0.147 0.763
12 Al 0.500 0.853 0.263

Summary:
- ΔE_f (kcal/mol of atoms) = -6.737
- offset from the most stable computed form (eV/atom) = 0.0000
- SG = No. 26

***

Entry 13:
Tb4Ho5Al | PBE-GGA | relaxed

abc: 3.529 3.529 24.012
angles: 90.00 90.00 90.00
Positions (direct):
1 Tb 0.000 0.000 0.105
2 Tb 0.000 0.000 0.315
3 Tb 0.000 0.000 0.685
4 Tb 0.000 0.000 0.895
5 Ho 0.500 0.500 0.000
6 Ho 0.500 0.500 0.210
7 Ho 0.500 0.500 0.421
8 Ho 0.500 0.500 0.579
9 Ho 0.500 0.500 0.790
10 Al 0.000 0.000 0.500

Summary:
- ΔE_f (kcal/mol of atoms) = -1.470
- offset from the most stable computed form (eV/atom) = 0.0000
- SG = No. 123

***

Entry 14:
TbHo2Al2 | PBE-GGA | relaxed

abc: 5.581 3.606 13.333
angles: 90.00 96.17 90.00
Positions (direct):
1 Tb 0.183 0.250 0.235
2 Tb 0.817 0.750 0.765
3 Ho 0.241 0.750 0.462
4 Ho 0.347 0.250 0.888
5 Ho 0.653 0.750 0.112
6 Ho 0.759 0.250 0.538
7 Al 0.150 0.750 0.043
8 Al 0.293 0.250 0.659
9 Al 0.707 0.750 0.341
10 Al 0.850 0.250 0.957

Summary:
- ΔE_f (kcal/mol of atoms) = -3.201
- offset from the most stable computed form (eV/atom) = 0.1772
- SG = No. 11

***

Entry 15:
TbHoAl6 | PBE-GGA | relaxed

abc: 4.666 6.240 10.791
angles: 90.00 90.00 90.00
Positions (direct):
1 Tb 0.000 0.000 0.000
2 Tb 0.000 0.500 0.500
3 Ho 0.500 0.000 0.667
4 Ho 0.500 0.500 0.167
5 Al 0.000 0.000 0.482
6 Al 0.000 0.221 0.260
7 Al 0.000 0.279 0.760
8 Al 0.000 0.500 0.982
9 Al 0.000 0.721 0.760
10 Al 0.000 0.779 0.260
11 Al 0.500 0.000 0.187
12 Al 0.500 0.220 0.407
13 Al 0.500 0.280 0.907
14 Al 0.500 0.500 0.687
15 Al 0.500 0.720 0.907
16 Al 0.500 0.780 0.407

Summary:
- ΔE_f (kcal/mol of atoms) = -9.943
- offset from the most stable computed form (eV/atom) = 0.0000
- SG = No. 38

***

Entry 16:
Tb2HoAl6 | PBE-GGA | relaxed

abc: 7.910 7.910 3.486
angles: 90.00 90.00 120.00
Positions (direct):
1 Tb 0.333 0.667 0.000
2 Tb 0.667 0.333 0.000
3 Ho 0.000 0.000 0.000
4 Al 0.000 0.333 0.500
5 Al 0.000 0.667 0.500
6 Al 0.333 0.000 0.500
7 Al 0.333 0.333 0.500
8 Al 0.667 0.000 0.500
9 Al 0.667 0.667 0.500

Summary:
- ΔE_f (kcal/mol of atoms) = -11.528
- offset from the most stable computed form (eV/atom) = 0.0000
- SG = No. 191

***

Entry 17:
TbHo2Al6 | PBE-GGA | relaxed

abc: 7.903 7.903 3.467
angles: 90.00 90.00 120.00
Positions (direct):
1 Tb 0.000 0.000 0.000
2 Ho 0.333 0.667 0.000
3 Ho 0.667 0.333 0.000
4 Al 0.000 0.334 0.500
5 Al 0.000 0.666 0.500
6 Al 0.334 0.000 0.500
7 Al 0.334 0.334 0.500
8 Al 0.666 0.000 0.500
9 Al 0.666 0.666 0.500

Summary:
- ΔE_f (kcal/mol of atoms) = -11.464
- offset from the most stable computed form (eV/atom) = 0.0000
- SG = No. 191

***

Entry 18:
TbHoAl2 | PBE-GGA | relaxed

abc: 3.572 3.572 27.662
angles: 90.00 90.00 120.00
Positions (direct):
1 Tb 0.000 0.000 0.000
2 Tb 0.333 0.667 0.667
3 Tb 0.667 0.333 0.333
4 Ho 0.000 0.000 0.500
5 Ho 0.333 0.667 0.167
6 Ho 0.667 0.333 0.833
7 Al 0.000 0.000 0.249
8 Al 0.000 0.000 0.751
9 Al 0.333 0.667 0.417
10 Al 0.333 0.667 0.916
11 Al 0.667 0.333 0.084
12 Al 0.667 0.333 0.583

Summary:
- ΔE_f (kcal/mol of atoms) = -3.832
- SG = No. 166

***

Entry 19:
TbHoAl4 | PBE-GGA | relaxed

abc: 5.563 5.563 5.563
angles: 60.00 60.00 60.00
Positions (direct):
1 Tb 0.000 0.000 0.000
2 Ho 0.750 0.750 0.750
3 Al 0.375 0.375 0.375
4 Al 0.375 0.375 0.875
5 Al 0.375 0.875 0.375
6 Al 0.875 0.375 0.375

Summary:
- ΔE_f (kcal/mol of atoms) = -12.064
- SG = No. 216

***

Entry 20:
Tb5HoAl6 | PBE-GGA | relaxed

abc: 5.098 7.237 8.061
angles: 90.00 108.31 90.00
Positions (direct):
1 Tb 0.000 0.000 0.000
2 Tb 0.333 0.000 0.665
3 Tb 0.334 0.500 0.667
4 Tb 0.666 0.500 0.333
5 Tb 0.667 0.000 0.335
6 Ho 0.000 0.500 0.000
7 Al 0.166 0.251 0.332
8 Al 0.166 0.749 0.332
9 Al 0.500 0.251 0.000
10 Al 0.500 0.749 0.000
11 Al 0.834 0.251 0.668
12 Al 0.834 0.749 0.668

Summary:
- ΔE_f (kcal/mol of atoms) = -9.154
- SG = No. 10

***

Entry 21:
TbHo8Al2 | PBE-GGA | relaxed

abc: 8.556 8.556 8.160
angles: 112.88 112.88 35.08
Positions (direct):
1 Tb 0.000 0.000 0.000
2 Ho 0.110 0.110 0.472
3 Ho 0.188 0.188 0.952
4 Ho 0.347 0.347 0.779
5 Ho 0.444 0.444 0.266
6 Ho 0.556 0.556 0.734
7 Ho 0.653 0.653 0.221
8 Ho 0.812 0.812 0.048
9 Ho 0.890 0.890 0.528
10 Al 0.276 0.276 0.358
11 Al 0.724 0.724 0.642

Summary:
- ΔE_f (kcal/mol of atoms) = -2.508
- offset from the most stable computed form (eV/atom) = 0.0000
- SG = No. 12

***

Entry 22:
Tb5HoAl3 | PBE-GGA | relaxed

abc: 9.098 9.098 6.652
angles: 90.00 90.00 120.00
Positions (direct):
1 Tb 0.000 0.334 0.250
2 Tb 0.000 0.666 0.750
3 Tb 0.333 0.667 0.000
4 Tb 0.333 0.667 0.500
5 Tb 0.334 0.000 0.250
6 Tb 0.334 0.334 0.750
7 Tb 0.666 0.000 0.750
8 Tb 0.666 0.666 0.250
9 Tb 0.667 0.333 0.000
10 Tb 0.667 0.333 0.500
11 Ho 0.000 0.000 0.000
12 Ho 0.000 0.000 0.500
13 Al 0.000 0.332 0.750
14 Al 0.000 0.668 0.250
15 Al 0.332 0.000 0.750
16 Al 0.332 0.332 0.250
17 Al 0.668 0.000 0.250
18 Al 0.668 0.668 0.750

Summary:
- ΔE_f (kcal/mol of atoms) = -6.143
- SG = No. 193